Entry 1:
# Ce2PrPuBi4

Crystalline Ce2PrPuBi4 at its relaxed geometry (PBE, Alexandria).

Lattice parameters (Å, degrees): 7.874 4.560 7.953 90.00 90.02 90.00
Positions (direct):
Ce 0.000 0.000 0.000
Ce 0.500 0.500 0.000
Pr 0.000 0.000 0.500
Pu 0.500 0.500 0.500
Bi 0.168 0.500 0.753
Bi 0.336 0.000 0.249
Bi 0.664 0.000 0.751
Bi 0.832 0.500 0.247

## Properties
raw total energy	-6.418	eV per atom
space group	No. 10
DOS(E_F)	27.4	states/eV per cell
energy relative to the elements	-0.61	eV/atom

---

Entry 2:
# CePr2ScBi5

Crystalline CePr2ScBi5 at its relaxed geometry (PBE, Alexandria).

Lattice parameters (Å, degrees): 5.654 5.654 11.489 90.00 90.00 90.00
Positions (direct):
Ce 0.000 0.000 0.000
Pr 0.500 0.500 0.209
Pr 0.500 0.500 0.791
Sc 0.000 0.000 0.500
Bi 0.000 0.000 0.261
Bi 0.000 0.000 0.739
Bi 0.000 0.500 0.000
Bi 0.500 0.000 0.000
Bi 0.500 0.500 0.500

## Properties
raw total energy	-4.640	eV per atom
space group	No. 123
DOS(E_F)	8.2	states/eV per cell
energy relative to the elements	-0.06	eV/atom

---

Entry 3:
# CePr2ScBi4

Crystalline CePr2ScBi4 at its relaxed geometry (PBE, Alexandria).

Lattice parameters (Å, degrees): 7.851 4.548 7.876 90.00 109.47 90.00
Positions (direct):
Ce 0.000 0.000 0.000
Pr 0.000 0.500 0.500
Pr 0.500 0.000 0.500
Sc 0.500 0.500 0.000
Bi 0.255 0.500 0.238
Bi 0.265 0.000 0.768
Bi 0.735 0.000 0.232
Bi 0.745 0.500 0.762

## Properties
raw total energy	-5.490	eV per atom
space group	No. 10
DOS(E_F)	7.3	states/eV per cell
energy relative to the elements	-0.82	eV/atom

---

Entry 4:
# Ce3Pr2SmBi6

Crystalline Ce3Pr2SmBi6 at its relaxed geometry (PBE, Alexandria).

Lattice parameters (Å, degrees): 7.982 7.982 7.982 99.60 99.60 120.00
Positions (direct):
Ce 0.000 0.000 0.000
Ce 0.332 0.668 0.000
Ce 0.668 0.332 0.000
Pr 0.166 0.834 0.500
Pr 0.834 0.166 0.500
Sm 0.500 0.500 0.500
Bi 0.086 0.416 0.248
Bi 0.254 0.254 0.754
Bi 0.416 0.086 0.248
Bi 0.584 0.914 0.752
Bi 0.746 0.746 0.246
Bi 0.914 0.584 0.752

## Properties
raw total energy	-5.487	eV per atom
space group	No. 12
DOS(E_F)	19.7	states/eV per cell
energy relative to the elements	-0.87	eV/atom

---

Entry 5:
# Ce3PrSm2Bi6

Crystalline Ce3PrSm2Bi6 at its relaxed geometry (PBE, Alexandria).

Lattice parameters (Å, degrees): 7.958 7.958 7.958 99.60 99.60 120.00
Positions (direct):
Ce 0.000 0.000 0.000
Ce 0.335 0.665 0.000
Ce 0.665 0.335 0.000
Pr 0.500 0.500 0.500
Sm 0.167 0.833 0.500
Sm 0.833 0.167 0.500
Bi 0.080 0.416 0.249
Bi 0.247 0.247 0.750
Bi 0.416 0.080 0.249
Bi 0.584 0.920 0.751
Bi 0.753 0.753 0.250
Bi 0.920 0.584 0.751

## Properties
raw total energy	-5.476	eV per atom
space group	No. 12
DOS(E_F)	19.9	states/eV per cell
energy relative to the elements	-0.87	eV/atom

---

Entry 6:
# Sr2CePrBi4

Crystalline Sr2CePrBi4 at its relaxed geometry (PBE, Alexandria).

Lattice parameters (Å, degrees): 8.170 4.700 8.232 90.00 109.33 90.00
Positions (direct):
Sr 0.000 0.000 0.000
Sr 0.500 0.500 0.000
Ce 0.000 0.500 0.500
Pr 0.500 0.000 0.500
Bi 0.236 0.000 0.727
Bi 0.251 0.500 0.269
Bi 0.749 0.500 0.731
Bi 0.764 0.000 0.273

## Properties
raw total energy	-4.509	eV per atom
space group	No. 10
DOS(E_F)	6.7	states/eV per cell
energy relative to the elements	-0.81	eV/atom